Record 1
## K2DyZn2O4 (PBE-GGA)

Data for crystalline K2DyZn2O4 at its relaxed geometry.

Values from the calculation:
raw formation energy	-1.76	eV per atom
symmetry	No. 12

Cell lengths 3.3760, 6.6274, 7.3580 Å; angles 105.27, 103.26, 90.00 degrees
Last column: nearest neighbours and their distance in Å.
Positions (direct):
K (0.1261, 0.5648, 0.2522)  3 O 2.62-2.81
K (0.8739, 0.4352, 0.7478)  3 O 2.62-2.81
Dy (0.0000, 0.0000, 0.0000)  6 O 2.29-2.35
Zn (0.6821, 0.0435, 0.3643)  3 O 2.03-2.07
Zn (0.3179, 0.9565, 0.6357)  3 O 2.03-2.07
O (0.1635, 0.1984, 0.3269)  2 Zn 2.03
O (0.8365, 0.8016, 0.6731)  2 Zn 2.03
O (0.5498, 0.8190, 0.0995)  1 Zn 2.07, 2 Dy 2.29
O (0.4502, 0.1810, 0.9005)  1 Zn 2.07, 2 Dy 2.29

---

Record 2
## KDy2ZnO5 (PBE-GGA)

Data for crystalline KDy2ZnO5 at its relaxed geometry.

Values from the calculation:
raw formation energy	-2.43	eV per atom
symmetry	No. 140

Cell lengths 6.5527, 6.5527, 7.3985 Å; angles 116.29, 116.29, 90.00 degrees
Last column: nearest neighbours and their distance in Å.
Positions (direct):
K (0.2500, 0.2500, 0.5000)  10 O 2.88-2.93
K (0.7500, 0.7500, 0.5000)  10 O 2.88-2.93
Dy (0.1723, 0.3277, 0.0000)  8 O 2.23-2.50
Dy (0.6723, 0.1723, 0.0000)  8 O 2.23-2.50
Dy (0.3277, 0.8277, 0.0000)  8 O 2.23-2.50
Dy (0.8277, 0.6723, 0.0000)  8 O 2.23-2.50
Zn (0.2500, 0.7500, 0.5000)  4 O 1.97
Zn (0.7500, 0.2500, 0.5000)  4 O 1.97
O (0.9814, 0.4814, 0.2443)  1 Zn 1.97
O (0.7372, 0.2372, 0.7557)  1 Zn 1.97
O (0.0186, 0.5186, 0.7557)  1 Zn 1.97
O (0.2372, 0.0186, 0.7557)  1 Zn 1.97
O (0.5186, 0.7372, 0.7557)  1 Zn 1.97
O (0.7628, 0.9814, 0.2443)  1 Zn 1.97
O (0.4814, 0.2628, 0.2443)  1 Zn 1.97
O (0.2628, 0.7628, 0.2443)  1 Zn 1.97
O (0.5000, 0.5000, 0.0000)  4 Dy 2.43
O (0.0000, 0.0000, 0.0000)  4 Dy 2.43

---

Record 3
## K3Dy2ZrO6 (PBE-GGA)

Data for crystalline K3Dy2ZrO6 at its relaxed geometry.

Values from the calculation:
raw formation energy	-2.61	eV per atom
symmetry	No. 12

Cell lengths 5.9288, 5.9288, 6.5558 Å; angles 98.67, 98.67, 120.00 degrees
Last column: nearest neighbours and their distance in Å.
Positions (direct):
K (0.1659, 0.8341, 0.5000)  6 O 2.76-2.86
K (0.8341, 0.1659, 0.5000)  6 O 2.76-2.86
K (0.5000, 0.5000, 0.5000)  6 O 2.76-2.85
Dy (0.3333, 0.6667, 0.0000)  6 O 2.33
Dy (0.6667, 0.3333, 0.0000)  6 O 2.33
Zr (0.0000, 0.0000, 0.0000)  6 O 2.22
O (0.9382, 0.6194, 0.8151)  1 Zr 2.22, 2 Dy 2.33
O (0.7427, 0.7427, 0.1848)  1 Zr 2.22, 2 Dy 2.33
O (0.0618, 0.3806, 0.1849)  1 Zr 2.22, 2 Dy 2.33
O (0.6194, 0.9382, 0.8151)  1 Zr 2.22, 2 Dy 2.33
O (0.2573, 0.2573, 0.8152)  1 Zr 2.22, 2 Dy 2.33
O (0.3806, 0.0618, 0.1849)  1 Zr 2.22, 2 Dy 2.33

---

Record 4
## KDy2Zr2O7 (PBE-GGA)

Data for crystalline KDy2Zr2O7 at its relaxed geometry.

Values from the calculation:
raw formation energy	-2.99	eV per atom
symmetry	No. 44

Cell lengths 4.3101, 4.5280, 9.8016 Å; angles 103.36, 102.70, 90.00 degrees
Last column: nearest neighbours and their distance in Å.
Positions (direct):
K (0.0000, 0.0007, 0.0000)  12 O 3.07-3.30
Dy (0.2619, 0.7620, 0.5238)  6 O 2.23-2.47
Dy (0.7381, 0.2381, 0.4762)  6 O 2.23-2.47
Zr (0.3915, 0.3925, 0.7831)  3 O 2.01-2.19
Zr (0.6085, 0.6093, 0.2169)  3 O 2.01-2.19
O (0.3823, 0.8811, 0.7646)  1 Dy 2.24, 2 Zr 2.26-2.28
O (0.7308, 0.7309, 0.4617)  4 Dy 2.23-2.27, 1 Zr 2.27
O (0.1290, 0.6287, 0.2581)  2 Zr 2.19
O (0.6177, 0.1167, 0.2354)  1 Dy 2.24, 2 Zr 2.26-2.28
O (0.2692, 0.2692, 0.5383)  4 Dy 2.23-2.27, 1 Zr 2.27
O (0.8710, 0.3704, 0.7419)  2 Zr 2.19
O (0.5000, 0.4999, 0.0000)  2 Zr 2.01

---

Record 5
## KDyP2Pd4 (PBE-GGA)

Data for crystalline KDyP2Pd4 at its relaxed geometry.

Values from the calculation:
energy of formation	-4.7	eV/f.u.
symmetry	No. 123

Cell lengths 4.1232, 4.1232, 10.3759 Å; angles 90.00, 90.00, 90.00 degrees
Last column: nearest neighbours and their distance in Å.
Positions (direct):
K (0.0000, 0.0000, 0.5000)  8 P 3.54, 8 Pd 3.74
Dy (0.0000, 0.0000, 0.0000)  8 Pd 2.92
P (0.5000, 0.5000, 0.3061)  4 Pd 2.34
P (0.5000, 0.5000, 0.6939)  4 Pd 2.34
Pd (0.0000, 0.5000, 0.1993)  2 P 2.34
Pd (0.5000, 0.0000, 0.8007)  2 P 2.34
Pd (0.5000, 0.0000, 0.1993)  2 P 2.34
Pd (0.0000, 0.5000, 0.8007)  2 P 2.34

---

Record 6
## KDyP2Pt4 (PBE-GGA)

Data for crystalline KDyP2Pt4 at its relaxed geometry.

Values from the calculation:
energy of formation	-6.0	eV/f.u.
symmetry	No. 123

Cell lengths 4.0348, 4.0348, 10.6517 Å; angles 90.00, 90.00, 90.00 degrees
Last column: nearest neighbours and their distance in Å.
Positions (direct):
K (0.0000, 0.0000, 0.5000)  8 P 3.47, 8 Pt 3.76
Dy (0.0000, 0.0000, 0.0000)  8 Pt 2.95
P (0.5000, 0.5000, 0.3144)  4 Pt 2.35
P (0.5000, 0.5000, 0.6856)  4 Pt 2.35
Pt (0.0000, 0.5000, 0.2017)  2 P 2.35
Pt (0.5000, 0.0000, 0.7983)  2 P 2.35
Pt (0.5000, 0.0000, 0.2017)  2 P 2.35
Pt (0.0000, 0.5000, 0.7983)  2 P 2.35

---

Record 7
## K4Dy3PaS8 (PBE-GGA)

Data for crystalline K4Dy3PaS8 at its relaxed geometry.

Values from the calculation:
raw formation energy	-1.76	eV per atom
symmetry	No. 166

Cell lengths 8.1037, 8.7434, 8.1041 Å; angles 117.62, 120.00, 90.00 degrees
Last column: nearest neighbours and their distance in Å.
Positions (direct):
K (0.5000, 0.0000, 0.0000)  6 S 3.21
K (0.5000, 0.0000, 0.5000)  6 S 3.20-3.21
K (0.0000, 0.0000, 0.0000)  6 S 3.20-3.21
K (0.0000, 0.0000, 0.5000)  6 S 3.20-3.21
Dy (0.5000, 0.5000, 0.0000)  6 S 2.78
Dy (0.5000, 0.5000, 0.5000)  6 S 2.78
Dy (0.0000, 0.5000, 0.5000)  6 S 2.78
Pa (0.0000, 0.5000, 0.0000)  6 S 2.78
S (0.2343, 0.7039, 0.9696)  1 Pa 2.78, 2 Dy 2.78
S (0.2343, 0.7039, 0.4686)  1 Pa 2.78, 2 Dy 2.78
S (0.2658, 0.2975, 0.5316)  3 Dy 2.78
S (0.7353, 0.7039, 0.9696)  1 Pa 2.78, 2 Dy 2.78
S (0.2647, 0.2961, 0.0304)  1 Pa 2.78, 2 Dy 2.78
S (0.7342, 0.7025, 0.4684)  3 Dy 2.78
S (0.7657, 0.2961, 0.5314)  1 Pa 2.78, 2 Dy 2.78
S (0.7657, 0.2961, 0.0304)  1 Pa 2.78, 2 Dy 2.78

---

Record 8
## KDyPaS4 (PBE-GGA)

Data for crystalline KDyPaS4 at its relaxed geometry.

Values from the calculation:
raw formation energy	-1.71	eV per atom
symmetry	No. 74

Cell lengths 8.4463, 8.3920, 8.3512 Å; angles 119.84, 90.00, 120.21 degrees
Last column: nearest neighbours and their distance in Å.
Positions (direct):
K (0.8793, 0.7586, 0.1293)  4 S 2.95-2.97
K (0.1207, 0.2414, 0.8707)  4 S 2.95-2.97
Dy (0.5000, 0.0000, 0.5000)  6 S 2.77-2.78
Dy (0.5000, 0.0000, 0.0000)  6 S 2.77-2.78
Pa (0.5000, 0.5000, 0.5000)  6 S 2.73-2.76
Pa (0.0000, 0.5000, 0.5000)  6 S 2.73-2.76
S (0.7330, 0.4659, 0.6940)  2 Pa 2.76, 1 Dy 2.78, 1 K 2.97
S (0.3087, 0.0434, 0.2717)  1 Pa 2.73, 2 Dy 2.77, 1 K 2.95
S (0.7347, 0.0434, 0.2717)  1 Pa 2.73, 2 Dy 2.77, 1 K 2.95
S (0.7330, 0.4659, 0.2719)  2 Pa 2.76, 1 Dy 2.78, 1 K 2.97
S (0.2670, 0.5341, 0.7281)  2 Pa 2.76, 1 Dy 2.78, 1 K 2.97
S (0.6913, 0.9566, 0.7283)  1 Pa 2.73, 2 Dy 2.77, 1 K 2.95
S (0.2653, 0.9566, 0.7283)  1 Pa 2.73, 2 Dy 2.77, 1 K 2.95
S (0.2670, 0.5341, 0.3060)  2 Pa 2.76, 1 Dy 2.78, 1 K 2.97

---

Record 9
## K2DyPaS4 (PBE-GGA)

Data for crystalline K2DyPaS4 at its relaxed geometry.

Values from the calculation:
raw formation energy	-1.66	eV per atom
symmetry	No. 10

Cell lengths 4.0114, 7.0162, 7.7841 Å; angles 107.16, 90.00, 90.00 degrees
Last column: nearest neighbours and their distance in Å.
Positions (direct):
K (0.5000, 0.0000, 0.5000)  6 S 3.20
K (0.0000, 0.5000, 0.5000)  6 S 3.19-3.21
Dy (0.5000, 0.5000, 0.0000)  6 S 2.78
Pa (0.0000, 0.0000, 0.0000)  6 S 2.77-2.79
S (0.5000, 0.2368, 0.2067)  1 Dy 2.78, 2 Pa 2.79
S (0.5000, 0.7632, 0.7933)  1 Dy 2.78, 2 Pa 2.79
S (0.0000, 0.2642, 0.7960)  1 Pa 2.77, 2 Dy 2.78
S (0.0000, 0.7358, 0.2040)  1 Pa 2.77, 2 Dy 2.78

---

Record 10
## K3Dy2PaS6 (PBE-GGA)

Data for crystalline K3Dy2PaS6 at its relaxed geometry.

Values from the calculation:
raw formation energy	-1.73	eV per atom
symmetry	No. 12

Cell lengths 7.0007, 7.0007, 7.7582 Å; angles 98.65, 98.65, 119.99 degrees
Last column: nearest neighbours and their distance in Å.
Positions (direct):
K (0.1680, 0.8320, 0.5000)  6 S 3.20
K (0.8320, 0.1680, 0.5000)  6 S 3.20
K (0.5000, 0.5000, 0.5000)  6 S 3.20-3.21
Dy (0.3335, 0.6665, 0.0000)  6 S 2.79
Dy (0.6665, 0.3335, 0.0000)  6 S 2.79
Pa (0.0000, 0.0000, 0.0000)  6 S 2.77
S (0.9320, 0.6007, 0.7960)  1 Pa 2.77, 2 Dy 2.79
S (0.7369, 0.7369, 0.2042)  1 Pa 2.77, 2 Dy 2.79
S (0.0680, 0.3993, 0.2040)  1 Pa 2.77, 2 Dy 2.79
S (0.6007, 0.9320, 0.7960)  1 Pa 2.77, 2 Dy 2.79
S (0.2631, 0.2631, 0.7958)  1 Pa 2.77, 2 Dy 2.79
S (0.3993, 0.0680, 0.2040)  1 Pa 2.77, 2 Dy 2.79

---

no.,calculated total energy (eV per atom)
1,-5.01
2,-6.47
3,-6.84
4,-8.17
5,-5.25
6,-5.84
7,-5.56
8,-6.24
9,-5.76
10,-5.62